The following is a SCAN calculation of CdTe2Pt at its PBEsol-relaxed geometry, from the Alexandria database.

Calculated values
Symmetry: No. 216
ΔE_f (raw), eV/atom: 0.349
Uncorrected energy, eV/atom: -43.428
Spin magnetization, μB per formula unit: 0.0

```
4
Lattice="0.000 3.527 3.527 3.527 0.000 3.527 3.527 3.527 0.000" Properties=species:S:1:pos:R:3 pbc="T T T"
Cd 0.000 0.000 0.000
Te 3.527 3.527 3.527
Te 5.291 5.291 5.291
Pt 1.764 1.764 1.764
```

The following is a SCAN calculation of CdTe2Pt at its PBEsol-relaxed geometry, from the Alexandria database.

Calculated values
Symmetry: No. 99
ΔE_f (raw), eV/atom: -0.042
Uncorrected energy, eV/atom: -43.819
Spin magnetization, μB per formula unit: 0.0

```
4
Lattice="3.629 0.000 0.000 0.000 3.629 0.000 0.000 0.000 7.389" Properties=species:S:1:pos:R:3 pbc="T T T"
Cd 0.000 0.000 0.000
Te 0.000 0.000 2.832
Te 1.814 1.814 5.949
Pt 1.814 1.814 1.847
```

The following is a SCAN calculation of CdTe2Pt at its PBEsol-relaxed geometry, from the Alexandria database.

Calculated values
Symmetry: No. 47
ΔE_f (raw), eV/atom: 0.208
Uncorrected energy, eV/atom: -43.570
Spin magnetization, μB per formula unit: 0.0

```
4
Lattice="3.980 0.000 0.000 0.000 4.060 0.000 0.000 0.000 5.651" Properties=species:S:1:pos:R:3 pbc="T T T"
Cd 0.000 0.000 0.000
Te 0.000 2.030 2.826
Te 1.990 2.030 0.000
Pt 1.990 0.000 2.826
```

The following is a SCAN calculation of CdTe2Pt at its PBEsol-relaxed geometry, from the Alexandria database.

Calculated values
Symmetry: No. 166
ΔE_f (raw), eV/atom: -0.191
Uncorrected energy, eV/atom: -43.969
Spin magnetization, μB per formula unit: 0.0

```
4
Lattice="1.997 1.153 8.584 -1.997 1.153 8.584 0.000 -2.306 8.584" Properties=species:S:1:pos:R:3 pbc="T T T"
Cd 0.000 0.000 0.000
Te 0.000 0.000 2.918
Te 0.000 0.000 22.836
Pt 0.000 0.000 12.877
```

The following is a SCAN calculation of Cd2TePt at its PBEsol-relaxed geometry, from the Alexandria database.

Calculated values
Symmetry: No. 99
ΔE_f (raw), eV/atom: 0.044
Uncorrected energy, eV/atom: -42.024
Spin magnetization, μB per formula unit: 0.0

```
4
Lattice="3.181 0.000 0.000 0.000 3.181 0.000 0.000 0.000 8.190" Properties=species:S:1:pos:R:3 pbc="T T T"
Cd 0.000 0.000 0.000
Cd 1.591 1.591 2.056
Te 1.591 1.591 5.584
Pt 0.000 0.000 3.828
```

The following is a SCAN calculation of CdTePt3 at its PBEsol-relaxed geometry, from the Alexandria database.

Calculated values
Symmetry: No. 221
ΔE_f (raw), eV/atom: 1.280
Uncorrected energy, eV/atom: -54.369
Spin magnetization, μB per formula unit: 0.0

```
5
Lattice="4.854 0.000 0.000 0.000 4.854 0.000 0.000 0.000 4.854" Properties=species:S:1:pos:R:3 pbc="T T T"
Cd 0.000 0.000 0.000
Te 2.427 2.427 2.427
Pt 0.000 0.000 2.427
Pt 0.000 2.427 0.000
Pt 2.427 0.000 0.000
```

The following is a SCAN calculation of ThCdPt2 at its PBEsol-relaxed geometry, from the Alexandria database.

Calculated values
Symmetry: No. 225
Uncorrected energy, eV/atom: -67.602
Energy of formation from the pure elements, meV/atom: -922
Spin magnetization, μB per formula unit: 0.0

```
4
Lattice="0.000 3.440 3.440 3.440 0.000 3.440 3.440 3.440 0.000" Properties=species:S:1:pos:R:3 pbc="T T T"
Th 0.000 0.000 0.000
Cd 3.440 3.440 3.440
Pt 1.720 1.720 1.720
Pt 5.159 5.159 5.159
```

The following is a SCAN calculation of CdPtW at its PBEsol-relaxed geometry, from the Alexandria database.

Calculated values
Symmetry: No. 216
Uncorrected energy, eV/atom: -56.048
Energy of formation from the pure elements, meV/atom: 717
Spin magnetization, μB per formula unit: 0.0

```
3
Lattice="0.000 3.067 3.067 3.067 0.000 3.067 3.067 3.067 0.000" Properties=species:S:1:pos:R:3 pbc="T T T"
Cd 0.000 0.000 0.000
Pt 3.067 3.067 3.067
W 1.534 1.534 1.534
```

The following is a SCAN calculation of Y3CdPt at its PBEsol-relaxed geometry, from the Alexandria database.

Calculated values
Symmetry: No. 221
Uncorrected energy, eV/atom: -37.361
Energy of formation from the pure elements, meV/atom: -534
Spin magnetization, μB per formula unit: 0.0

```
5
Lattice="5.350 0.000 0.000 0.000 5.350 0.000 0.000 0.000 5.350" Properties=species:S:1:pos:R:3 pbc="T T T"
Y 0.000 0.000 2.675
Y 0.000 2.675 0.000
Y 2.675 0.000 0.000
Cd 2.675 2.675 2.675
Pt 0.000 0.000 0.000
```

The following is a SCAN calculation of ZnCdPt2 at its PBEsol-relaxed geometry, from the Alexandria database.

Calculated values
Symmetry: No. 47
Uncorrected energy, eV/atom: -46.537
Energy of formation from the pure elements, meV/atom: -458
Spin magnetization, μB per formula unit: 0.0

```
4
Lattice="2.890 0.000 0.000 0.000 3.598 0.000 0.000 0.000 5.908" Properties=species:S:1:pos:R:3 pbc="T T T"
Zn 0.000 0.000 0.000
Cd 0.000 0.000 2.954
Pt 1.445 1.799 1.370
Pt 1.445 1.799 4.538
```

The following is a SCAN calculation of ZnCdPt3 at its PBEsol-relaxed geometry, from the Alexandria database.

Calculated values
Symmetry: No. 221
Uncorrected energy, eV/atom: -49.450
Energy of formation from the pure elements, meV/atom: 1452
Spin magnetization, μB per formula unit: 0.0

```
5
Lattice="4.846 0.000 0.000 0.000 4.846 0.000 0.000 0.000 4.846" Properties=species:S:1:pos:R:3 pbc="T T T"
Zn 0.000 0.000 0.000
Cd 2.423 2.423 2.423
Pt 0.000 2.423 2.423
Pt 2.423 0.000 2.423
Pt 2.423 2.423 0.000
```

The following is a SCAN calculation of ZnCd2Pt at its PBEsol-relaxed geometry, from the Alexandria database.

Calculated values
Symmetry: No. 10
Uncorrected energy, eV/atom: -36.297
Energy of formation from the pure elements, meV/atom: -162
Spin magnetization, μB per formula unit: 0.0

```
4
Lattice="2.987 0.000 0.000 0.000 3.978 0.000 -0.008 0.000 5.682" Properties=species:S:1:pos:R:3 pbc="T T T"
Zn 0.000 0.000 0.000
Cd 1.489 1.989 1.432
Cd 1.490 1.989 4.250
Pt -0.004 0.000 2.841
```